one:
# GGA-PBE Li2HfV, relaxed
data_Li2HfV
_chemical_formula_sum 'Li8 Hf4 V4'
_symmetry_space_group_name_H-M 'I -4 2 d'
_symmetry_Int_Tables_number 122
_symmetry_space_group_name_Hall 'I -4 2bw'
_cell_length_a 7.2985
_cell_length_b 7.2985
_cell_length_c 5.0265
_cell_angle_alpha 90.00
_cell_angle_beta 90.00
_cell_angle_gamma 90.00
loop_
_atom_site_label
_atom_site_type_symbol
_atom_site_fract_x
_atom_site_fract_y
_atom_site_fract_z
Li1 Li 0.2284 0.2500 0.1250
Hf1 Hf 0.0000 0.0000 0.5000
V1 V 0.0000 0.0000 0.0000
# - V (A^3/atom) = 16.73
# - spin magnetization (μB per formula unit) = 1.03

---

two:
# GGA-PBE Li2HfV, relaxed
data_Li2HfV
_chemical_formula_sum 'Li8 Hf4 V4'
_symmetry_space_group_name_H-M 'F m -3 m'
_symmetry_Int_Tables_number 225
_symmetry_space_group_name_Hall '-F 4 2 3'
_cell_length_a 6.2998
_cell_length_b 6.2998
_cell_length_c 6.2998
_cell_angle_alpha 90.00
_cell_angle_beta 90.00
_cell_angle_gamma 90.00
loop_
_atom_site_label
_atom_site_type_symbol
_atom_site_fract_x
_atom_site_fract_y
_atom_site_fract_z
Li1 Li 0.2500 0.2500 0.2500
Hf1 Hf 0.0000 0.0000 0.0000
V1 V 0.0000 0.0000 0.5000
# - V (A^3/atom) = 15.63
# - spin magnetization (μB per formula unit) = 0.32

---

Stability, lowest: one